The following is a PBE calculation of an optimized crystal structure of Cr2CoHgAs, from Alexandria via LeMat-Bulk.

## Properties
**Crystal system**: tetragonal
**Energy relative to the elements**: 1.18 eV/atom
**SG**: P4/mmm, No. 123

a b c (Å): 4.624 4.624 5.120
angles (deg): 90.00 90.00 90.00
Atoms (fractional coordinates):
Cr 0.000 0.500 0.000
Cr 0.500 0.000 0.000
Co 0.000 0.000 0.500
Hg 0.500 0.500 0.500
As 0.500 0.500 0.000

***

The following is a PBE calculation of an optimized crystal structure of KMgAg2I, from Alexandria via LeMat-Bulk.

## Properties
**Crystal system**: tetragonal
**SG**: P4/mmm, No. 123
**Formation energy (no corrections)**: 0.814 eV/atom

a b c (Å): 5.738 5.738 6.874
angles (deg): 90.00 90.00 90.00
Atoms (fractional coordinates):
K 0.000 0.000 0.000
Mg 0.000 0.000 0.500
Ag 0.000 0.500 0.000
Ag 0.500 0.000 0.000
I 0.500 0.500 0.500

***

The following is a PBE calculation of an optimized crystal structure of Te5Pd3I, from Alexandria via LeMat-Bulk.

## Properties
**Crystal system**: monoclinic
**SG**: C2/m, No. 12
**Formation energy (no corrections)**: -0.149 eV/atom

a b c (Å): 6.678 6.678 12.322
angles (deg): 103.35 103.35 84.10
Atoms (fractional coordinates):
Te 0.132 0.754 0.646
Te 0.184 0.816 0.000
Te 0.246 0.868 0.354
Te 0.296 0.296 0.119
Te 0.322 0.322 0.449
Te 0.678 0.678 0.551
Te 0.704 0.704 0.881
Te 0.754 0.132 0.646
Te 0.816 0.184 0.000
Te 0.868 0.246 0.354
Pd 0.000 0.000 0.500
Pd 0.027 0.027 0.177
Pd 0.498 0.498 0.328
Pd 0.500 0.500 0.000
Pd 0.502 0.502 0.672
Pd 0.973 0.973 0.823
I 0.304 0.304 0.793
I 0.696 0.696 0.207

***

The following is a PBE calculation of an optimized crystal structure of HgAs2IrSe, from Alexandria via LeMat-Bulk.

## Properties
**Crystal system**: tetragonal
**SG**: P4/mmm, No. 123
**Formation energy (no corrections)**: 0.472 eV/atom
**Excess energy over the best structure of this formula in the dataset**: 0 meV/atom

a b c (Å): 4.708 4.708 5.539
angles (deg): 90.00 90.00 90.00
Atoms (fractional coordinates):
Hg 0.000 0.000 0.000
As 0.000 0.500 0.500
As 0.500 0.000 0.500
Ir 0.500 0.500 0.500
Se 0.500 0.500 0.000